Entry 1:
Below is a geometry-optimized CsLiHgSe2 structure, with properties calculated at the GGA-PBE level.

Properties
volume = 636 Å³/cell
final energy = -2.89 eV per atom
raw formation energy = -886 meV/atom

Cell: 6.4917 15.0751 6.5036 Å, 90.00 90.00 90.00°
Closest atoms and distances in Å follow each position.
Space group Cmme (No. 67)
Unique sites:
Cs (0.0000, 0.2500, 0.2333) x4  8 Se 3.78-4.01, 2 Hg 4.06
Li (0.2500, 0.0000, 0.5000) x4  4 Se 2.68
Hg (0.0000, 0.0000, 0.0000) x4  2 Se 2.48
Se (0.0000, 0.1078, 0.7119) x8  1 Hg 2.48, 2 Li 2.68


Entry 2:
Below is a geometry-optimized CsLiSiHg2 structure, with properties calculated at the GGA-PBE level.

Properties
volume = 159 Å³/cell
final energy = -1.78 eV per atom
raw formation energy = -17 meV/atom

Cell: 5.5601 5.5601 5.1581 Å, 90.00 90.00 90.00°
Closest atoms and distances in Å follow each position.
Space group P4/mmm (No. 123)
Unique sites:
Cs (0.0000, 0.0000, 0.0000) x1  8 Hg 3.79, 4 Li 3.93
Li (0.5000, 0.5000, 0.0000) x1  2 Si 2.58
Si (0.5000, 0.5000, 0.5000) x1  2 Li 2.58, 4 Hg 2.78
Hg (0.0000, 0.5000, 0.5000) x2  2 Si 2.78


Entry 3:
Below is a geometry-optimized Cs2LiSiHg structure, with properties calculated at the GGA-PBE level.

Properties
volume = 260 Å³/cell
final energy = -1.41 eV per atom
raw formation energy = 459 meV/atom

Cell: 6.9891 6.9891 5.3255 Å, 90.00 90.00 90.00°
Closest atoms and distances in Å follow each position.
Space group P4/mmm (No. 123)
Unique sites:
Cs (0.0000, 0.5000, 0.0000) x2  2 Hg 3.49
Li (0.0000, 0.0000, 0.5000) x1  2 Hg 2.66
Si (0.5000, 0.5000, 0.5000) x1  8 Cs 4.39
Hg (0.0000, 0.0000, 0.0000) x1  2 Li 2.66


Entry 4:
Below is a geometry-optimized CsLi2SnHg structure, with properties calculated at the GGA-PBE level.

Properties
volume = 179 Å³/cell
final energy = -1.98 eV per atom

Cell: 5.4498 5.4498 6.0348 Å, 90.00 90.00 90.00°
Closest atoms and distances in Å follow each position.
Space group P4/mmm (No. 123)
Unique sites:
Cs (0.0000, 0.0000, 0.0000) x1  4 Hg 3.85, 8 Li 4.07
Li (0.0000, 0.5000, 0.5000) x2  2 Sn 2.72
Sn (0.5000, 0.5000, 0.5000) x1  4 Li 2.72, 2 Hg 3.02
Hg (0.5000, 0.5000, 0.0000) x1  2 Sn 3.02


Entry 5:
Below is a geometry-optimized Cs2LiTaHg structure, with properties calculated at the GGA-PBE level.

Properties
volume = 236 Å³/cell
final energy = -1.94 eV per atom

Cell: 6.5993 6.5993 5.4187 Å, 90.00 90.00 90.00°
Closest atoms and distances in Å follow each position.
Space group P4/mmm (No. 123)
Unique sites:
Cs (0.0000, 0.5000, 0.0000) x2  2 Ta 3.30
Li (0.0000, 0.0000, 0.5000) x1  2 Ta 2.71
Ta (0.0000, 0.0000, 0.0000) x1  2 Li 2.71
Hg (0.5000, 0.5000, 0.5000) x1  8 Cs 4.27, 4 Li 4.67


Entry 6:
Below is a geometry-optimized CsLiHgTe2 structure, with properties calculated at the GGA-PBE level.

Properties
volume = 757 Å³/cell
final energy = -2.62 eV per atom
raw formation energy = -749 meV/atom

Cell: 6.7901 15.9676 6.9835 Å, 90.00 90.00 90.00°
Closest atoms and distances in Å follow each position.
Space group Cmme (No. 67)
Unique sites:
Cs (0.0000, 0.2500, 0.2208) x4  8 Te 4.07-4.16, 2 Hg 4.28
Li (0.2500, 0.0000, 0.5000) x4  4 Te 2.89
Hg (0.0000, 0.0000, 0.0000) x4  2 Te 2.66
Te (0.0000, 0.1116, 0.7166) x8  1 Hg 2.66, 2 Li 2.89


Entry 7:
Below is a geometry-optimized CsLiTl2Hg structure, with properties calculated at the GGA-PBE level.

Properties
volume = 196 Å³/cell
final energy = -1.52 eV per atom
distance to the lowest polymorph of the same formula = 100 meV per atom

Cell: 5.9199 5.9199 5.6034 Å, 90.00 90.00 90.00°
Closest atoms and distances in Å follow each position.
Space group P4/mmm (No. 123)
Unique sites:
Cs (0.0000, 0.0000, 0.0000) x1  8 Tl 4.08, 4 Li 4.19
Li (0.5000, 0.5000, 0.0000) x1  2 Hg 2.80
Tl (0.0000, 0.5000, 0.5000) x2  2 Hg 2.96
Hg (0.5000, 0.5000, 0.5000) x1  2 Li 2.80, 4 Tl 2.96


Entry 8:
Below is a geometry-optimized CsLi2TlHg structure, with properties calculated at the GGA-PBE level.

Properties
volume = 184 Å³/cell
final energy = -1.53 eV per atom

Cell: 5.5960 5.5960 5.8607 Å, 90.00 90.00 90.00°
Closest atoms and distances in Å follow each position.
Space group P4/mmm (No. 123)
Unique sites:
Cs (0.0000, 0.0000, 0.0000) x1  4 Hg 3.96, 8 Li 4.05
Li (0.0000, 0.5000, 0.5000) x2  2 Tl 2.80
Tl (0.5000, 0.5000, 0.5000) x1  4 Li 2.80, 2 Hg 2.93
Hg (0.5000, 0.5000, 0.0000) x1  2 Tl 2.93


> Which formula does entry 2 have?

CsLiSiHg2


> Which of these has the highest final energy?

Cs2LiSiHg